(1)
# Cd2IrRu, relaxed, DFT PBE
data_Cd2IrRu
_chemical_formula_sum 'Cd2 Ir1 Ru1'
_cell_length_a 5.052
_cell_length_b 5.052
_cell_length_c 2.886
_cell_angle_alpha 90.00
_cell_angle_beta 90.00
_cell_angle_gamma 111.78
_symmetry_space_group_name_H-M 'P 1'
_symmetry_Int_Tables_number 1
loop_
_symmetry_equiv_pos_as_xyz
'x,y,z'
loop_
_atom_site_label
_atom_site_fract_x
_atom_site_fract_y
_atom_site_fract_z
Cd1 0.000 0.000 0.000
Cd2 0.500 0.500 0.000
Ir1 0.500 0.000 0.500
Ru1 0.000 0.500 0.500
# Calculated volume (Å³/f.u.): 68.41
# Raw total energy (eV/f.u.): -18.30
# Offset from the most stable computed form (kJ per mole of atoms): 31.4
# Energy of formation (eV/atom): 0.417


(2)
# CdIrRu, relaxed, DFT PBE
data_CdIrRu
_chemical_formula_sum 'Cd1 Ir1 Ru1'
_cell_length_a 5.408
_cell_length_b 5.408
_cell_length_c 5.408
_cell_angle_alpha 150.06
_cell_angle_beta 140.22
_cell_angle_gamma 50.58
_symmetry_space_group_name_H-M 'P 1'
_symmetry_Int_Tables_number 1
loop_
_symmetry_equiv_pos_as_xyz
'x,y,z'
loop_
_atom_site_label
_atom_site_fract_x
_atom_site_fract_y
_atom_site_fract_z
Cd1 0.999 0.999 0.000
Ir1 0.309 0.309 0.000
Ru1 0.692 0.692 0.000
# Calculated volume (Å³/f.u.): 50.28
# Raw total energy (eV/f.u.): -18.24
# Offset from the most stable computed form (kJ per mole of atoms): 15.7
# Energy of formation (eV/atom): 0.270


(3)
# CdIrRu2, relaxed, DFT PBE
data_CdIrRu2
_chemical_formula_sum 'Cd1 Ir1 Ru2'
_cell_length_a 4.888
_cell_length_b 4.888
_cell_length_c 4.888
_cell_angle_alpha 132.96
_cell_angle_beta 132.96
_cell_angle_gamma 68.71
_symmetry_space_group_name_H-M 'P 1'
_symmetry_Int_Tables_number 1
loop_
_symmetry_equiv_pos_as_xyz
'x,y,z'
loop_
_atom_site_label
_atom_site_fract_x
_atom_site_fract_y
_atom_site_fract_z
Cd1 0.500 0.500 0.000
Ir1 0.750 0.250 0.500
Ru1 0.000 0.000 0.000
Ru2 0.250 0.750 0.500
# Calculated volume (Å³/f.u.): 61.40
# Raw total energy (eV/f.u.): -26.89
# Energy of formation (eV/atom): 0.360


(4)
# CdIrRu, relaxed, DFT PBE
data_CdIrRu
_chemical_formula_sum 'Cd2 Ir2 Ru2'
_cell_length_a 2.756
_cell_length_b 4.698
_cell_length_c 15.020
_cell_angle_alpha 121.68
_cell_angle_beta 137.14
_cell_angle_gamma 54.09
_symmetry_space_group_name_H-M 'P 1'
_symmetry_Int_Tables_number 1
loop_
_symmetry_equiv_pos_as_xyz
'x,y,z'
loop_
_atom_site_label
_atom_site_fract_x
_atom_site_fract_y
_atom_site_fract_z
Cd1 0.203 0.581 0.633
Cd2 0.797 0.419 0.367
Ir1 0.195 0.841 0.197
Ir2 0.805 0.159 0.803
Ru1 0.277 0.719 0.936
Ru2 0.723 0.281 0.064
# Calculated volume (Å³/f.u.): 52.77
# Raw total energy (eV/f.u.): -18.51
# Offset from the most stable computed form (kJ per mole of atoms): 7.0
# Energy of formation (eV/atom): 0.179


(5)
# CdIrRu2, relaxed, DFT PBE
data_CdIrRu2
_chemical_formula_sum 'Cd1 Ir1 Ru2'
_cell_length_a 2.753
_cell_length_b 2.753
_cell_length_c 9.530
_cell_angle_alpha 90.00
_cell_angle_beta 90.00
_cell_angle_gamma 118.95
_symmetry_space_group_name_H-M 'P 1'
_symmetry_Int_Tables_number 1
loop_
_symmetry_equiv_pos_as_xyz
'x,y,z'
loop_
_atom_site_label
_atom_site_fract_x
_atom_site_fract_y
_atom_site_fract_z
Cd1 0.500 0.500 0.250
Ir1 0.500 0.500 0.750
Ru1 0.000 0.000 0.987
Ru2 0.000 0.000 0.513
# Calculated volume (Å³/f.u.): 63.22
# Raw total energy (eV/f.u.): -26.45
# Energy of formation (eV/atom): 0.470


(6)
# Cd2IrRu, relaxed, DFT PBE
data_Cd2IrRu
_chemical_formula_sum 'Cd2 Ir1 Ru1'
_cell_length_a 4.926
_cell_length_b 4.926
_cell_length_c 5.034
_cell_angle_alpha 80.61
_cell_angle_beta 80.61
_cell_angle_gamma 33.97
_symmetry_space_group_name_H-M 'P 1'
_symmetry_Int_Tables_number 1
loop_
_symmetry_equiv_pos_as_xyz
'x,y,z'
loop_
_atom_site_label
_atom_site_fract_x
_atom_site_fract_y
_atom_site_fract_z
Cd1 0.000 0.000 0.000
Cd2 0.500 0.500 0.500
Ir1 0.250 0.250 0.250
Ru1 0.750 0.750 0.750
# Calculated volume (Å³/f.u.): 67.26
# Raw total energy (eV/f.u.): -18.70
# Offset from the most stable computed form (kJ per mole of atoms): 21.6
# Energy of formation (eV/atom): 0.316


(7)
# CdIrRu2, relaxed, DFT PBE
data_CdIrRu2
_chemical_formula_sum 'Cd1 Ir1 Ru2'
_cell_length_a 2.751
_cell_length_b 3.833
_cell_length_c 5.949
_cell_angle_alpha 90.00
_cell_angle_beta 90.00
_cell_angle_gamma 90.00
_symmetry_space_group_name_H-M 'P 1'
_symmetry_Int_Tables_number 1
loop_
_symmetry_equiv_pos_as_xyz
'x,y,z'
loop_
_atom_site_label
_atom_site_fract_x
_atom_site_fract_y
_atom_site_fract_z
Cd1 0.500 0.500 0.250
Ir1 0.500 0.500 0.750
Ru1 0.000 0.000 0.968
Ru2 0.000 0.000 0.532
# Calculated volume (Å³/f.u.): 62.73
# Raw total energy (eV/f.u.): -27.19
# Energy of formation (eV/atom): 0.284


(8)
# Cd2IrRu, relaxed, DFT PBE
data_Cd2IrRu
_chemical_formula_sum 'Cd2 Ir1 Ru1'
_cell_length_a 4.597
_cell_length_b 4.597
_cell_length_c 4.597
_cell_angle_alpha 60.00
_cell_angle_beta 60.00
_cell_angle_gamma 60.00
_symmetry_space_group_name_H-M 'P 1'
_symmetry_Int_Tables_number 1
loop_
_symmetry_equiv_pos_as_xyz
'x,y,z'
loop_
_atom_site_label
_atom_site_fract_x
_atom_site_fract_y
_atom_site_fract_z
Cd1 0.000 0.000 0.000
Cd2 0.250 0.250 0.250
Ir1 0.500 0.500 0.500
Ru1 0.750 0.750 0.750
# Calculated volume (Å³/f.u.): 68.69
# Raw total energy (eV/f.u.): -18.39
# Offset from the most stable computed form (kJ per mole of atoms): 29.2
# Energy of formation (eV/atom): 0.395


(9)
# CdIrRu2, relaxed, DFT PBE
data_CdIrRu2
_chemical_formula_sum 'Cd1 Ir1 Ru2'
_cell_length_a 3.984
_cell_length_b 3.943
_cell_length_c 3.943
_cell_angle_alpha 90.00
_cell_angle_beta 90.00
_cell_angle_gamma 90.00
_symmetry_space_group_name_H-M 'P 1'
_symmetry_Int_Tables_number 1
loop_
_symmetry_equiv_pos_as_xyz
'x,y,z'
loop_
_atom_site_label
_atom_site_fract_x
_atom_site_fract_y
_atom_site_fract_z
Cd1 0.500 0.500 0.000
Ir1 0.500 0.000 0.500
Ru1 0.000 0.000 0.000
Ru2 0.000 0.500 0.500
# Calculated volume (Å³/f.u.): 61.92
# Raw total energy (eV/f.u.): -26.43
# Energy of formation (eV/atom): 0.474


(10)
# Cd2IrRu, relaxed, DFT PBE
data_Cd2IrRu
_chemical_formula_sum 'Cd2 Ir1 Ru1'
_cell_length_a 4.585
_cell_length_b 4.585
_cell_length_c 4.585
_cell_angle_alpha 60.00
_cell_angle_beta 60.00
_cell_angle_gamma 60.00
_symmetry_space_group_name_H-M 'P 1'
_symmetry_Int_Tables_number 1
loop_
_symmetry_equiv_pos_as_xyz
'x,y,z'
loop_
_atom_site_label
_atom_site_fract_x
_atom_site_fract_y
_atom_site_fract_z
Ru1 0.000 0.000 0.000
Ir1 0.500 0.500 0.500
Cd1 0.250 0.250 0.250
Cd2 0.750 0.750 0.750
# Calculated volume (Å³/f.u.): 68.16
# Raw total energy (eV/f.u.): -18.16
# Offset from the most stable computed form (kJ per mole of atoms): 34.7
# Energy of formation (eV/atom): 0.452


(11)
# CdIrRu2, relaxed, DFT PBE
data_CdIrRu2
_chemical_formula_sum 'Cd1 Ir1 Ru2'
_cell_length_a 4.909
_cell_length_b 4.909
_cell_length_c 2.757
_cell_angle_alpha 90.00
_cell_angle_beta 90.00
_cell_angle_gamma 112.02
_symmetry_space_group_name_H-M 'P 1'
_symmetry_Int_Tables_number 1
loop_
_symmetry_equiv_pos_as_xyz
'x,y,z'
loop_
_atom_site_label
_atom_site_fract_x
_atom_site_fract_y
_atom_site_fract_z
Cd1 0.500 0.000 0.500
Ir1 0.000 0.500 0.500
Ru1 0.000 0.000 0.000
Ru2 0.500 0.500 0.000
# Calculated volume (Å³/f.u.): 61.59
# Raw total energy (eV/f.u.): -26.77
# Energy of formation (eV/atom): 0.389


(12)
# Cd4IrRu, relaxed, DFT PBE
data_Cd4IrRu
_chemical_formula_sum 'Cd4 Ir1 Ru1'
_cell_length_a 5.420
_cell_length_b 5.420
_cell_length_c 5.420
_cell_angle_alpha 60.00
_cell_angle_beta 60.00
_cell_angle_gamma 60.00
_symmetry_space_group_name_H-M 'P 1'
_symmetry_Int_Tables_number 1
loop_
_symmetry_equiv_pos_as_xyz
'x,y,z'
loop_
_atom_site_label
_atom_site_fract_x
_atom_site_fract_y
_atom_site_fract_z
Cd1 0.875 0.375 0.375
Cd2 0.375 0.375 0.875
Cd3 0.375 0.875 0.375
Cd4 0.375 0.375 0.375
Ir1 0.750 0.750 0.750
Ru1 0.000 0.000 0.000
# Calculated volume (Å³/f.u.): 112.59
# Raw total energy (eV/f.u.): -17.79
# Energy of formation (eV/atom): 0.668


Number 1: density of states at the Fermi level 1.200 states/eV/atom, total moment 0.387 μB per atom. Number 2: density of states at the Fermi level 0.832 states/eV/atom, total moment 0.000 μB per atom. Number 3: density of states at the Fermi level 1.443 states/eV/atom, total moment 0.001 μB per atom. Number 4: density of states at the Fermi level 1.065 states/eV/atom, total moment 0.000 μB per atom. Number 5: density of states at the Fermi level 1.168 states/eV/atom, total moment 0.440 μB per atom. Number 6: density of states at the Fermi level 0.810 states/eV/atom, total moment 0.201 μB per atom. Number 7: density of states at the Fermi level 1.178 states/eV/atom, total moment 0.000 μB per atom. Number 8: density of states at the Fermi level 0.714 states/eV/atom, total moment 0.561 μB per atom. Number 9: density of states at the Fermi level 1.715 states/eV/atom, total moment 0.250 μB per atom. Number 10: density of states at the Fermi level 1.647 states/eV/atom, total moment 0.383 μB per atom. Number 11: density of states at the Fermi level 1.553 states/eV/atom, total moment 0.256 μB per atom. Number 12: density of states at the Fermi level 1.110 states/eV/atom, total moment 0.300 μB per atom.